Compound: HfScZnCo
Source: the Open Quantum Materials Database
Functional: GGA-PBE
Structure: optimized geometry

a = 4.4825 Å, b = 4.4825 Å, c = 4.4825 Å
α = 60.00°, β = 60.00°, γ = 60.00°
Closest atoms and distances in Å follow each position.
Fractional positions:
Co: 0.7500 0.7500 0.7500  4 Hf 2.74, 4 Zn 2.74
Hf: 0.5000 0.5000 0.5000  4 Co 2.74, 4 Sc 2.74
Sc: 0.2500 0.2500 0.2500  4 Zn 2.74, 4 Hf 2.74
Zn: 0.0000 0.0000 0.0000  4 Sc 2.74, 4 Co 2.74

Computed properties:
Volume   64 Å³ per cell
Formation energy from the elements   -122 meV/atom
Total DFT energy (no corrections)   -25.144 eV/cell
Symmetry   No. 216



Compound: NdTe
Source: the Open Quantum Materials Database
Functional: GGA-PBE
Structure: optimized geometry

a = 4.2265 Å, b = 4.2265 Å, c = 4.1856 Å
α = 90.00°, β = 90.00°, γ = 120.00°
Closest atoms and distances in Å follow each position.
Fractional positions:
Te: 0.3333 0.6667 0.2500  6 Nd 3.21
Nd: 0.6667 0.3333 0.7500  6 Te 3.21

Computed properties:
Volume   65 Å³ per cell
Total DFT energy (no corrections)   -10.703 eV/cell
Symmetry   No. 187



Compound: Mo
Source: the Open Quantum Materials Database
Functional: GGA-PBE
Structure: optimized geometry

a = 6.8752 Å, b = 6.8752 Å, c = 6.8752 Å
α = 90.00°, β = 90.00°, γ = 90.00°
Closest atoms and distances in Å follow each position.
Fractional positions:
Mo: 0.1957 0.8043 0.3043  12 Mo 2.62-2.91
Mo: 0.1967 0.4467 0.1250  12 Mo 2.75-3.00
Mo: 0.8750 0.6967 0.0533  12 Mo 2.75-3.00
Mo: 0.6957 0.6957 0.6957  12 Mo 2.62-2.91
Mo: 0.9467 0.3750 0.8033  12 Mo 2.75-3.00
Mo: 0.3033 0.5533 0.6250  12 Mo 2.75-3.00
Mo: 0.0533 0.8750 0.6967  12 Mo 2.75-3.00
Mo: 0.4467 0.1250 0.1967  12 Mo 2.75-3.00
Mo: 0.1250 0.1967 0.4467  12 Mo 2.75-3.00
Mo: 0.9457 0.5543 0.4457  12 Mo 2.62-2.91
Mo: 0.3043 0.1957 0.8043  12 Mo 2.62-2.91
Mo: 0.3750 0.8033 0.9467  12 Mo 2.75-3.00
Mo: 0.6250 0.3033 0.5533  12 Mo 2.75-3.00
Mo: 0.4457 0.9457 0.5543  12 Mo 2.62-2.91
Mo: 0.0543 0.0543 0.0543  12 Mo 2.62-2.91
Mo: 0.8043 0.3043 0.1957  12 Mo 2.62-2.91
Mo: 0.5543 0.4457 0.9457  12 Mo 2.62-2.91
Mo: 0.5533 0.6250 0.3033  12 Mo 2.75-3.00
Mo: 0.6967 0.0533 0.8750  12 Mo 2.75-3.00
Mo: 0.8033 0.9467 0.3750  12 Mo 2.75-3.00

Computed properties:
Volume   325 Å³ per cell
Formation energy from the elements   308 meV/atom
Total DFT energy (no corrections)   -210.808 eV/cell
Symmetry   No. 213



Compound: GdHoNi2Sn2
Source: the Open Quantum Materials Database
Functional: GGA-PBE
Structure: optimized geometry

a = 4.4966 Å, b = 4.4966 Å, c = 7.1627 Å
α = 90.00°, β = 90.00°, γ = 120.00°
Closest atoms and distances in Å follow each position.
Fractional positions:
Ni: 0.6667 0.3333 0.5516  3 Sn 2.65, 3 Ho 2.91
Ni: 0.3333 0.6667 0.0315  3 Sn 2.64
Sn: 0.3333 0.6667 0.4786  3 Ni 2.65
Sn: 0.6667 0.3333 0.9668  3 Ni 2.64
Gd: 0.0000 0.0000 0.2350  3 Ni 2.98, 6 Sn 3.13-3.23
Ho: 0.0000 0.0000 0.7365  3 Ni 2.91, 6 Sn 3.08-3.19

Computed properties:
Volume   125 Å³ per cell
Total DFT energy (no corrections)   -32.148 eV/cell
Symmetry   No. 156



Compound: NdTaO3
Source: the Open Quantum Materials Database
Functional: GGA-PBE
Structure: optimized geometry

a = 5.6485 Å, b = 5.6485 Å, c = 6.0300 Å
α = 62.07°, β = 62.07°, γ = 60.00°
Closest atoms and distances in Å follow each position.
Fractional positions:
O: 0.2053 0.9448 0.2815  2 Ta 2.07-2.14
O: 0.4315 0.7947 0.7185  2 Ta 2.07-2.14
O: 0.0552 0.4315 0.7185  2 Ta 2.07-2.14
O: 0.5685 0.2053 0.2815  2 Ta 2.07-2.14
O: 0.9448 0.5685 0.2815  2 Ta 2.07-2.14
O: 0.7947 0.0552 0.7185  2 Ta 2.07-2.14
Ta: 0.8400 0.8400 0.4801  6 O 2.07-2.14
Ta: 0.1600 0.1600 0.5199  6 O 2.07-2.14
Nd: 0.3557 0.3557 0.9330  6 O 2.35-2.50
Nd: 0.6443 0.6443 0.0670  6 O 2.35-2.50

Computed properties:
Volume   140 Å³ per cell
Total DFT energy (no corrections)   -88.238 eV/cell
Symmetry   No. 148



Compound: Na2FeH6Pd
Source: the Open Quantum Materials Database
Functional: GGA-PBE
Structure: optimized geometry

a = 4.9524 Å, b = 4.9524 Å, c = 4.9524 Å
α = 60.00°, β = 60.00°, γ = 60.00°
Closest atoms and distances in Å follow each position.
Fractional positions:
Fe: 0.0000 0.0000 0.0000  6 H 1.67
Na: 0.2500 0.2500 0.2500  12 H 2.48
Na: 0.7500 0.7500 0.7500  12 H 2.48
H: 0.7610 0.2390 0.2390  1 Fe 1.67, 1 Pd 1.83
H: 0.2390 0.7610 0.2390  1 Fe 1.67, 1 Pd 1.83
H: 0.7610 0.2390 0.7610  1 Fe 1.67, 1 Pd 1.83
H: 0.2390 0.2390 0.7610  1 Fe 1.67, 1 Pd 1.83
H: 0.7610 0.7610 0.2390  1 Fe 1.67, 1 Pd 1.83
H: 0.2390 0.7610 0.7610  1 Fe 1.67, 1 Pd 1.83
Pd: 0.5000 0.5000 0.5000  6 H 1.83

Computed properties:
Volume   86 Å³ per cell
Total DFT energy (no corrections)   -36.982 eV/cell
Symmetry   No. 225



Compound: LiTaCuTeSe2
Source: the Open Quantum Materials Database
Functional: GGA-PBE
Structure: optimized geometry

a = 6.9721 Å, b = 6.9721 Å, c = 10.0159 Å
α = 90.00°, β = 90.00°, γ = 150.17°
Closest atoms and distances in Å follow each position.
Fractional positions:
Ta: 0.0000 0.0000 0.0000  4 Se 2.64, 2 Te 2.91
Ta: 0.0000 0.0000 0.5000  4 Se 2.64, 2 Te 2.91
Se: 0.3634 0.6366 0.5592  1 Cu 2.39, 2 Ta 2.64
Se: 0.3634 0.6366 0.9408  1 Cu 2.39, 2 Ta 2.64
Se: 0.6366 0.3634 0.0592  1 Cu 2.39, 2 Ta 2.64
Se: 0.6366 0.3634 0.4408  1 Cu 2.39, 2 Ta 2.64
Li: 0.8025 0.1975 0.7500  4 Se 2.75, 2 Cu 2.88
Li: 0.1975 0.8025 0.2500  4 Se 2.75, 2 Cu 2.88
Cu: 0.4698 0.5302 0.7500  2 Se 2.39, 2 Te 2.61
Cu: 0.5302 0.4698 0.2500  2 Se 2.39, 2 Te 2.61
Te: 0.1102 0.8898 0.7500  2 Cu 2.61, 2 Ta 2.91
Te: 0.8898 0.1102 0.2500  2 Cu 2.61, 2 Ta 2.91

Computed properties:
Volume   242 Å³ per cell
Total DFT energy (no corrections)   -61.773 eV/cell
Symmetry   No. 63



Compound: TmInTe
Source: the Open Quantum Materials Database
Functional: GGA-PBE
Structure: optimized geometry

a = 5.1220 Å, b = 5.1220 Å, c = 5.1220 Å
α = 60.00°, β = 60.00°, γ = 60.00°
Closest atoms and distances in Å follow each position.
Fractional positions:
Tm: 0.7500 0.7500 0.7500  4 Te 3.14
In: 0.2500 0.2500 0.2500  4 Te 3.14
Te: 0.0000 0.0000 0.0000  4 Tm 3.14, 4 In 3.14

Computed properties:
Volume   95 Å³ per cell
Total DFT energy (no corrections)   -11.102 eV/cell
Symmetry   No. 216



Compound: LiPmPt4
Source: the Open Quantum Materials Database
Functional: GGA-PBE
Structure: optimized geometry

a = 5.3824 Å, b = 5.3824 Å, c = 5.3824 Å
α = 60.00°, β = 60.00°, γ = 60.00°
Closest atoms and distances in Å follow each position.
Fractional positions:
Pm: 0.0000 0.0000 0.0000  12 Pt 3.16, 4 Li 3.30
Pt: 0.6245 0.6245 0.1266  6 Pt 2.68-2.70
Pt: 0.6245 0.1266 0.6245  6 Pt 2.68-2.70
Pt: 0.6245 0.6245 0.6245  6 Pt 2.68-2.70
Pt: 0.1266 0.6245 0.6245  6 Pt 2.68-2.70
Li: 0.2500 0.2500 0.2500  12 Pt 3.15, 4 Pm 3.30

Computed properties:
Volume   110 Å³ per cell
Total DFT energy (no corrections)   -36.107 eV/cell
Symmetry   No. 216



Compound: HoErGe2Ir
Source: the Open Quantum Materials Database
Functional: GGA-PBE
Structure: optimized geometry

a = 5.6508 Å, b = 5.6508 Å, c = 10.2556 Å
α = 114.60°, β = 114.60°, γ = 44.61°
Closest atoms and distances in Å follow each position.
Fractional positions:
Ho: 0.9919 0.9919 0.6705  4 Ir 2.95-3.30, 7 Ge 2.99-3.26
Ho: 0.0081 0.0081 0.3295  4 Ir 2.95-3.30, 7 Ge 2.99-3.26
Ge: 0.5220 0.5220 0.8850  1 Ir 2.57, 1 Ge 2.60
Ge: 0.3538 0.3538 0.4470  3 Ir 2.51-2.73, 1 Ge 2.75
Ge: 0.4780 0.4780 0.1150  1 Ir 2.57, 1 Ge 2.60
Ge: 0.6462 0.6462 0.5530  3 Ir 2.51-2.73, 1 Ge 2.75
Er: 0.8103 0.8103 0.8816  2 Ir 2.98, 6 Ge 3.02-3.10
Er: 0.1897 0.1897 0.1184  2 Ir 2.98, 6 Ge 3.02-3.10
Ir: 0.2718 0.2718 0.6653  4 Ge 2.51-2.73
Ir: 0.7282 0.7282 0.3347  4 Ge 2.51-2.73

Computed properties:
Volume   205 Å³ per cell
Total DFT energy (no corrections)   -63.702 eV/cell
Symmetry   No. 12



Compound: BeTlCdCu
Source: the Open Quantum Materials Database
Functional: GGA-PBE
Structure: optimized geometry

a = 4.6562 Å, b = 4.6562 Å, c = 4.6562 Å
α = 60.00°, β = 60.00°, γ = 60.00°
Closest atoms and distances in Å follow each position.
Fractional positions:
Cd: 0.2500 0.2500 0.2500  4 Be 2.85, 4 Tl 2.85
Cu: 0.7500 0.7500 0.7500  4 Tl 2.85, 4 Be 2.85
Be: 0.5000 0.5000 0.5000  4 Cu 2.85, 4 Cd 2.85
Tl: 0.0000 0.0000 0.0000  4 Cu 2.85, 4 Cd 2.85

Computed properties:
Volume   71 Å³ per cell
Total DFT energy (no corrections)   -8.306 eV/cell
Symmetry   No. 216



Compound: LiHfAlPd
Source: the Open Quantum Materials Database
Functional: GGA-PBE
Structure: optimized geometry

a = 4.5429 Å, b = 4.5429 Å, c = 4.5429 Å
α = 60.00°, β = 60.00°, γ = 60.00°
Closest atoms and distances in Å follow each position.
Fractional positions:
Pd: 0.5000 0.5000 0.5000  4 Li 2.78, 4 Hf 2.78
Al: 0.0000 0.0000 0.0000  4 Hf 2.78, 4 Li 2.78
Hf: 0.2500 0.2500 0.2500  4 Pd 2.78, 4 Al 2.78
Li: 0.7500 0.7500 0.7500  4 Pd 2.78, 4 Al 2.78

Computed properties:
Volume   66 Å³ per cell
Total DFT energy (no corrections)   -22.374 eV/cell
Symmetry   No. 216